## CeMo2O8 (PBE+U)

Data for a relaxed CeMo2O8 crystal.

a b c (Å): 6.513 6.513 5.770
angles (deg): 96.68 96.68 95.53
Sites, in units of the cell vectors:
1 Ce 0.000 0.000 0.000
2 Mo 0.242 0.242 0.647
3 Mo 0.758 0.758 0.353
4 O 0.015 0.287 0.796
5 O 0.176 0.176 0.324
6 O 0.287 0.015 0.796
7 O 0.441 0.441 0.729
8 O 0.559 0.559 0.271
9 O 0.713 0.985 0.204
10 O 0.824 0.824 0.676
11 O 0.985 0.713 0.204

Output
The spin magnetization is 0.00 μB/f.u. The calculation puts the total DFT energy (no corrections) at -81.09 eV/cell. Its crystal system is monoclinic.